# Mg3Os

Crystalline Mg3Os at its relaxed geometry (GGA-PBEsol, Alexandria).

```
data_Mg3Os
_symmetry_space_group_name_H-M 'C m m m'
_symmetry_Int_Tables_number 65
_symmetry_space_group_name_Hall '-C 2 2'
_cell_length_a 5.631
_cell_length_b 8.678
_cell_length_c 2.785
_cell_angle_alpha 90.00
_cell_angle_beta 90.00
_cell_angle_gamma 90.00
loop_
_atom_site_label
_atom_site_fract_x
_atom_site_fract_y
_atom_site_fract_z
_atom_site_occupancy
Mg1 0.000 0.000 0.000 1
Mg2 0.250 0.250 0.500 1
Os1 0.000 0.500 0.000 1
```

Energy of formation (eV/atom): 0.28

***

# BaScS2

Crystalline BaScS2 at its relaxed geometry (GGA-PBEsol, Alexandria).

```
data_BaScS2
_symmetry_space_group_name_H-M 'R -3 m'
_symmetry_Int_Tables_number 166
_symmetry_space_group_name_Hall '-R 3 2"'
_cell_length_a 3.8594
_cell_length_b 3.8594
_cell_length_c 25.8415
_cell_angle_alpha 90.00
_cell_angle_beta 90.00
_cell_angle_gamma 120.00
loop_
_atom_site_label
_atom_site_fract_x
_atom_site_fract_y
_atom_site_fract_z
_atom_site_occupancy
Ba1 0.0000 0.0000 0.0000 1
Sc1 0.0000 0.0000 0.5000 1
S1 0.0000 0.0000 0.1149 1
```

Formation energy (no corrections) (eV/atom): -1.53
Relative energy among the computed polymorphs (eV/f.u.): 0.000

***

# Y3Ru2

Crystalline Y3Ru2 at its relaxed geometry (GGA-PBEsol, Alexandria).

```
data_Y3Ru2
_symmetry_space_group_name_H-M 'P -3 m 1'
_symmetry_Int_Tables_number 164
_symmetry_space_group_name_Hall '-P 3 2"'
_cell_length_a 4.7499
_cell_length_b 4.7499
_cell_length_c 5.7276
_cell_angle_alpha 90.00
_cell_angle_beta 90.00
_cell_angle_gamma 120.00
loop_
_atom_site_label
_atom_site_fract_x
_atom_site_fract_y
_atom_site_fract_z
_atom_site_occupancy
Y1 0.0000 0.0000 0.0000 1
Y2 0.3333 0.6667 0.3400 1
Ru1 0.3333 0.6667 0.8442 1
```

Energy of formation (eV/atom): -0.17
Relative energy among the computed polymorphs (eV/f.u.): 0.169